(1)
This record from Alexandria via LeMat-Bulk describes a relaxed Re2Cl crystal. The functional is PBE.

a = 6.4195 Å, b = 6.4195 Å, c = 6.5141 Å
α = 114.97°, β = 114.97°, γ = 25.73°
Last column: nearest neighbours and their distance in Å.
Fractional positions:
Re (0.0000, 0.0000, 0.0000)  4 Cl 2.36-2.44
Re (0.0083, 0.0083, 0.4363)  7 Re 2.60-2.86
Re (0.3718, 0.3718, 0.5679)  1 Cl 2.43, 2 Re 2.64
Re (0.6596, 0.6596, 0.3574)  1 Cl 2.39, 2 Re 2.60
Cl (0.3355, 0.3355, 0.9053)  3 Re 2.36-2.43
Cl (0.6552, 0.6552, 0.9872)  3 Re 2.39-2.44

Values from the calculation:
ρ ... 12.89 g/cm3
Energy relative to the lowest polymorph listed for this composition ... 513.6 meV per atom
Formation energy from raw total energies ... 67 kJ per mole of atoms

---

(2)
This record from Alexandria via LeMat-Bulk describes a relaxed PuZr2Cd crystal. The functional is PBE.

a = 10.4097 Å, b = 10.4097 Å, c = 10.4097 Å
α = 17.98°, β = 17.98°, γ = 17.98°
Last column: nearest neighbours and their distance in Å.
Fractional positions:
Pu (0.0000, 0.0000, 0.0000)  6 Zr 3.18, 6 Pu 3.25
Zr (0.2498, 0.2498, 0.2498)  3 Cd 3.17, 3 Pu 3.18, 6 Zr 3.25
Zr (0.7502, 0.7502, 0.7502)  3 Cd 3.17, 3 Pu 3.18, 6 Zr 3.25
Cd (0.5000, 0.5000, 0.5000)  6 Zr 3.17, 6 Cd 3.25

Values from the calculation:
ρ ... 9.53 g/cm3
Energy relative to the lowest polymorph listed for this composition ... 56.7 meV per atom
Energy of formation from the pure elements ... 63 meV/atom